A geometry-optimized Sm2YBe structure. Source: Alexandria, functional PBE. Values from VASP.

Summary:
- DFT formation energy (meV per atom) = 101
- symmetry = P4/mmm, No. 123
- total moment (μB/cell) = 0.0

```
&SYSTEM
  ibrav = 0, nat = 4, ntyp = 3
/
ATOMIC_SPECIES
Be 9.01 Be.upf
Sm 150.36 Sm.upf
Y 88.91 Y.upf
CELL_PARAMETERS angstrom
3.5558 0.0000 0.0000
0.0000 3.5558 0.0000
0.0000 0.0000 8.6068
ATOMIC_POSITIONS angstrom
Be 1.7779 1.7779 0.0000
Sm 0.0000 0.0000 1.6698
Sm 0.0000 0.0000 6.9370
Y 1.7779 1.7779 4.3034
```